# 1
A relaxed structure of DyAl2Pt4. Source: the Alexandria database, functional PBE.

Cell: 4.212 7.036 16.436 Å, 90.00 90.00 90.00°
Element x y z (fractional)
Dy  0.250  0.441  0.853
Al  0.750  0.393  0.695
Al  0.250  0.749  0.524
Pt  0.750  0.809  0.288
Al  0.750  0.107  0.195
Al  0.250  0.893  0.805
Pt  0.750  0.383  0.326
Pt  0.250  0.191  0.712
Al  0.250  0.607  0.305
Dy  0.750  0.559  0.147
Pt  0.250  0.447  0.444
Dy  0.750  0.941  0.647
Al  0.750  0.251  0.476
Pt  0.250  0.053  0.944
Dy  0.250  0.059  0.353
Al  0.250  0.751  0.024
Pt  0.750  0.117  0.826
Pt  0.250  0.617  0.674
Pt  0.250  0.883  0.174
Al  0.750  0.249  0.976
Pt  0.250  0.395  0.044
Pt  0.750  0.895  0.456
Pt  0.750  0.947  0.056
Pt  0.250  0.105  0.544
Pt  0.750  0.553  0.556
Pt  0.750  0.605  0.956
Pt  0.750  0.691  0.788
Pt  0.250  0.309  0.212

## Properties
ΔH_f (0 K)	-1.02	eV per atom
space-group type	Pnma (62)
energy	-173.7	eV/cell

# 2
A relaxed structure of Dy2Al3Pt4. Source: the Alexandria database, functional PBE.

Cell: 5.595 7.576 8.140 Å, 90.00 110.10 90.00°
Element x y z (fractional)
Dy  0.894  0.407  0.788
Pt  0.182  0.972  0.365
Pt  0.810  0.250  0.121
Pt  0.190  0.750  0.879
Dy  0.106  0.593  0.212
Al  0.500  0.500  0.000
Pt  0.318  0.472  0.635
Dy  0.606  0.907  0.212
Al  0.522  0.750  0.543
Al  0.022  0.750  0.543
Al  0.978  0.250  0.457
Al  0.478  0.250  0.457
Pt  0.310  0.250  0.121
Pt  0.818  0.028  0.635
Pt  0.690  0.750  0.879
Al  0.000  0.000  0.000
Dy  0.394  0.093  0.788
Pt  0.682  0.528  0.365

## Properties
ΔH_f (0 K)	-1.19	eV per atom
space-group type	Cmce (64)
energy	-110.6	eV/cell

# 3
A relaxed structure of DyAl2Pt3. Source: the Alexandria database, functional PBE.

Cell: 5.470 6.370 6.370 Å, 102.31 90.00 90.00°
Element x y z (fractional)
Pt  0.750  0.019  0.019
Dy  0.250  0.336  0.336
Pt  0.750  0.456  0.149
Dy  0.750  0.664  0.664
Pt  0.750  0.149  0.456
Pt  0.250  0.851  0.544
Al  0.000  0.783  0.217
Al  0.000  0.217  0.783
Pt  0.250  0.981  0.981
Al  0.500  0.783  0.217
Al  0.500  0.217  0.783
Pt  0.250  0.544  0.851

## Properties
ΔH_f (0 K)	-1.05	eV per atom
space-group type	Cmcm (63)
energy	-73.0	eV/cell

# 4
A relaxed structure of DyAl3Pt3. Source: the Alexandria database, functional PBE.

Cell: 6.763 6.763 6.763 Å, 90.00 90.00 90.00°
Element x y z (fractional)
Al  0.000  0.750  0.500
Pt  0.250  0.000  0.500
Al  0.500  0.000  0.250
Al  0.500  0.000  0.750
Al  0.250  0.500  0.000
Al  0.000  0.250  0.500
Al  0.750  0.500  0.000
Dy  0.000  0.000  0.000
Dy  0.500  0.500  0.500
Pt  0.500  0.250  0.000
Pt  0.750  0.000  0.500
Pt  0.000  0.500  0.250
Pt  0.500  0.750  0.000
Pt  0.000  0.500  0.750

## Properties
ΔH_f (0 K)	-0.55	eV per atom
space-group type	Pm-3n (223)
energy	-75.7	eV/cell

# 5
A relaxed structure of DyAl3Pt2. Source: the Alexandria database, functional PBE.

Cell: 4.147 8.548 10.009 Å, 107.42 90.00 104.04°
Element x y z (fractional)
Al  0.785  0.571  0.609
Dy  0.000  0.000  0.000
Pt  0.197  0.394  0.129
Pt  0.639  0.279  0.454
Al  0.373  0.745  0.800
Pt  0.361  0.721  0.546
Al  0.041  0.083  0.354
Al  0.325  0.651  0.036
Pt  0.527  0.055  0.782
Al  0.627  0.255  0.200
Al  0.500  0.000  0.500
Al  0.675  0.349  0.964
Pt  0.803  0.606  0.871
Al  0.215  0.429  0.391
Dy  0.843  0.686  0.295
Al  0.959  0.917  0.646
Pt  0.473  0.945  0.218
Dy  0.157  0.314  0.705

## Properties
ΔH_f (0 K)	-1.03	eV per atom
space-group type	C2/m (12)
energy	-102.3	eV/cell

# 6
A relaxed structure of Dy3Al9Pt2. Source: the Alexandria database, functional PBE.

Cell: 4.257 8.224 8.224 Å, 75.27 75.00 75.00°
Element x y z (fractional)
Dy  0.000  0.000  0.000
Al  0.660  0.710  0.971
Al  0.000  0.500  0.500
Al  0.340  0.029  0.290
Al  0.873  0.845  0.409
Al  0.873  0.409  0.845
Pt  0.500  0.291  0.709
Dy  0.689  0.311  0.311
Dy  0.311  0.689  0.689
Pt  0.500  0.709  0.291
Al  0.660  0.971  0.710
Al  0.127  0.591  0.155
Al  0.340  0.290  0.029
Al  0.127  0.155  0.591

## Properties
ΔH_f (0 K)	-0.71	eV per atom
space-group type	Immm (71)
energy	-69.5	eV/cell

# 7
A relaxed structure of Dy3AlPt3. Source: the Alexandria database, functional PBE.

Cell: 4.043 5.633 14.193 Å, 90.00 90.00 111.03°
Element x y z (fractional)
Pt  0.922  0.843  0.589
Dy  0.207  0.414  0.893
Al  0.500  0.000  0.000
Pt  0.078  0.157  0.089
Pt  0.078  0.157  0.411
Dy  0.482  0.963  0.750
Pt  0.245  0.491  0.250
Dy  0.207  0.414  0.607
Al  0.500  0.000  0.500
Pt  0.755  0.509  0.750
Dy  0.518  0.037  0.250
Pt  0.922  0.843  0.911
Dy  0.793  0.586  0.107
Dy  0.793  0.586  0.393

## Properties
ΔH_f (0 K)	-1.18	eV per atom
space-group type	Cmcm (63)
energy	-87.8	eV/cell

# 8
A relaxed structure of DyAl5Pt3. Source: the Alexandria database, functional PBE.

Cell: 4.045 6.781 12.467 Å, 90.00 90.00 107.35°
Element x y z (fractional)
Pt  0.611  0.222  0.447
Dy  0.858  0.715  0.750
Al  0.000  0.000  0.500
Al  0.565  0.129  0.647
Al  0.800  0.600  0.061
Al  0.000  0.000  0.000
Pt  0.870  0.741  0.250
Pt  0.130  0.259  0.750
Al  0.200  0.400  0.939
Pt  0.611  0.222  0.053
Al  0.435  0.871  0.147
Al  0.565  0.129  0.853
Al  0.800  0.600  0.439
Al  0.435  0.871  0.353
Dy  0.142  0.285  0.250
Pt  0.389  0.778  0.553
Pt  0.389  0.778  0.947
Al  0.200  0.400  0.561

## Properties
ΔH_f (0 K)	-0.91	eV per atom
space-group type	Cmcm (63)
energy	-99.2	eV/cell

# 9
A relaxed structure of DyAl2Pt5. Source: the Alexandria database, functional PBE.

Cell: 3.855 6.472 6.472 Å, 66.48 72.67 72.67°
Element x y z (fractional)
Al  0.757  0.743  0.743
Pt  0.000  0.500  0.500
Pt  0.641  0.563  0.155
Pt  0.641  0.155  0.563
Al  0.243  0.257  0.257
Pt  0.359  0.845  0.437
Pt  0.359  0.437  0.845
Dy  0.000  0.000  0.000

## Properties
ΔH_f (0 K)	-0.95	eV per atom
space-group type	Immm (71)
energy	-49.9	eV/cell

# 10
A relaxed structure of Dy3Al3Pt2. Source: the Alexandria database, functional PBE.

Cell: 5.635 8.107 14.963 Å, 90.00 90.00 90.00°
Element x y z (fractional)
Al  0.890  0.818  0.465
Dy  0.614  0.039  0.888
Dy  0.114  0.461  0.388
Dy  0.886  0.539  0.612
Dy  0.127  0.182  0.750
Pt  0.873  0.102  0.393
Dy  0.373  0.682  0.750
Al  0.383  0.666  0.250
Al  0.890  0.818  0.035
Al  0.610  0.318  0.035
Pt  0.627  0.602  0.393
Al  0.110  0.182  0.965
Pt  0.373  0.398  0.893
Dy  0.873  0.818  0.250
Al  0.390  0.682  0.965
Al  0.390  0.682  0.535
Al  0.117  0.166  0.250
Dy  0.386  0.961  0.388
Al  0.610  0.318  0.465
Dy  0.614  0.039  0.612
Pt  0.627  0.602  0.107
Pt  0.873  0.102  0.107
Al  0.883  0.834  0.750
Dy  0.886  0.539  0.888
Dy  0.386  0.961  0.112
Dy  0.114  0.461  0.112
Pt  0.373  0.398  0.607
Al  0.110  0.182  0.535
Pt  0.127  0.898  0.607
Pt  0.127  0.898  0.893
Dy  0.627  0.318  0.250
Al  0.617  0.334  0.750

## Properties
ΔH_f (0 K)	-0.92	eV per atom
space-group type	Pnma (62)
energy	-177.8	eV/cell

# 11
A relaxed structure of DyAlPt4. Source: the Alexandria database, functional PBE.

Cell: 3.960 6.576 8.243 Å, 90.00 103.90 90.00°
Element x y z (fractional)
Pt  0.077  0.750  0.153
Pt  0.500  0.000  0.000
Pt  0.923  0.250  0.847
Pt  0.677  0.540  0.354
Pt  0.323  0.460  0.646
Al  0.231  0.750  0.462
Pt  0.323  0.040  0.646
Pt  0.677  0.960  0.354
Dy  0.900  0.750  0.799
Al  0.769  0.250  0.538
Pt  0.500  0.500  0.000
Dy  0.100  0.250  0.201

## Properties
ΔH_f (0 K)	-0.98	eV per atom
space-group type	Cmcm (63)
energy	-76.8	eV/cell

# 12
A relaxed structure of Dy3Al6Pt5. Source: the Alexandria database, functional PBE.

Cell: 4.255 9.396 12.699 Å, 90.00 90.00 90.00°
Element x y z (fractional)
Al  0.500  0.413  0.181
Al  0.000  0.044  0.500
Al  0.500  0.413  0.819
Al  0.000  0.587  0.319
Dy  0.000  0.262  0.000
Pt  0.500  0.463  0.383
Al  0.000  0.417  0.500
Al  0.000  0.587  0.681
Pt  0.500  0.133  0.847
Pt  0.000  0.867  0.653
Dy  0.000  0.249  0.701
Pt  0.000  0.799  0.000
Pt  0.000  0.867  0.347
Pt  0.000  0.537  0.117
Al  0.500  0.020  0.345
Pt  0.500  0.133  0.153
Al  0.000  0.980  0.155
Dy  0.500  0.751  0.799
Pt  0.500  0.463  0.617
Dy  0.000  0.249  0.299
Al  0.500  0.583  0.000
Al  0.000  0.980  0.845
Dy  0.500  0.751  0.201
Pt  0.000  0.537  0.883
Dy  0.500  0.738  0.500
Pt  0.500  0.201  0.500
Al  0.500  0.956  0.000
Al  0.500  0.020  0.655

## Properties
ΔH_f (0 K)	-1.12	eV per atom
space-group type	Pmmn (59)
energy	-164.3	eV/cell